# 1
DFT (meta-GGA SCAN) results for a PBEsol-optimized structure of LuB4Rh4.

Cell: 9.0302 9.0302 9.0302 Å, 131.53 131.53 70.97°
Element x y z (fractional)
Lu 0.1250 0.3750 0.7500
Lu 0.3750 0.1250 0.2500
Lu 0.6250 0.8750 0.7500
Lu 0.8750 0.6250 0.2500
B 0.0685 0.1265 0.2819
B 0.1265 0.3446 0.0580
B 0.1554 0.3735 0.4420
B 0.2134 0.9315 0.5580
B 0.2866 0.8446 0.7181
B 0.3446 0.7866 0.2181
B 0.3735 0.4315 0.2181
B 0.4315 0.7134 0.0580
B 0.5685 0.2866 0.9420
B 0.6265 0.5685 0.7819
B 0.6554 0.2134 0.7819
B 0.7134 0.1554 0.2819
B 0.7866 0.0685 0.4420
B 0.8446 0.6265 0.5580
B 0.8735 0.6554 0.9420
B 0.9315 0.8735 0.7181
Rh 0.0349 0.8222 0.9799
Rh 0.0551 0.0349 0.7127
Rh 0.1577 0.6778 0.7127
Rh 0.1778 0.6577 0.2127
Rh 0.3222 0.5349 0.4799
Rh 0.3423 0.0551 0.5201
Rh 0.4449 0.1577 0.9799
Rh 0.4651 0.4449 0.7873
Rh 0.5349 0.5551 0.2127
Rh 0.5551 0.8423 0.0201
Rh 0.6577 0.9449 0.4799
Rh 0.6778 0.4651 0.5201
Rh 0.8222 0.3423 0.7873
Rh 0.8423 0.3222 0.2873
Rh 0.9449 0.9651 0.2873
Rh 0.9651 0.1778 0.0201

Values from the calculation:
Final energy, eV per atom: -25.136

---

# 2
DFT (meta-GGA SCAN) results for a PBEsol-optimized structure of LuB4Rh4.

Cell: 5.2585 5.2585 7.3155 Å, 90.00 90.00 90.00°
Element x y z (fractional)
Lu 0.2500 0.7500 0.2500
Lu 0.7500 0.2500 0.7500
B 0.0797 0.2500 0.1021
B 0.2500 0.0797 0.6021
B 0.2500 0.4203 0.6021
B 0.4203 0.2500 0.1021
B 0.5797 0.7500 0.8979
B 0.7500 0.5797 0.3979
B 0.7500 0.9203 0.3979
B 0.9203 0.7500 0.8979
Rh 0.0014 0.7500 0.6034
Rh 0.2500 0.5014 0.8966
Rh 0.2500 0.9986 0.8966
Rh 0.4986 0.7500 0.6034
Rh 0.5014 0.2500 0.3966
Rh 0.7500 0.0014 0.1034
Rh 0.7500 0.4986 0.1034
Rh 0.9986 0.2500 0.3966

Values from the calculation:
Final energy, eV per atom: -25.139

---

# 3
DFT (meta-GGA SCAN) results for a PBEsol-optimized structure of LuB4Rh4.

Cell: 11.6573 11.6573 7.4197 Å, 90.00 90.00 143.07°
Element x y z (fractional)
Lu 0.0819 0.9181 0.7500
Lu 0.2500 0.7500 0.2500
Lu 0.4181 0.5819 0.7500
Lu 0.5819 0.4181 0.2500
Lu 0.7500 0.2500 0.7500
Lu 0.9181 0.0819 0.2500
B 0.0036 0.7233 0.4196
B 0.0513 0.6548 0.5823
B 0.1395 0.1970 0.8868
B 0.1548 0.5513 0.9177
B 0.1970 0.1395 0.3868
B 0.2233 0.5036 0.0804
B 0.2767 0.9964 0.0804
B 0.3030 0.3605 0.3868
B 0.3452 0.9487 0.9177
B 0.3605 0.3030 0.8868
B 0.4487 0.8452 0.5823
B 0.4964 0.7767 0.4196
B 0.5036 0.2233 0.5804
B 0.5513 0.1548 0.4177
B 0.6395 0.6970 0.1132
B 0.6548 0.0513 0.0823
B 0.6970 0.6395 0.6132
B 0.7233 0.0036 0.9196
B 0.7767 0.4964 0.9196
B 0.8030 0.8605 0.6132
B 0.8452 0.4487 0.0823
B 0.8605 0.8030 0.1132
B 0.9487 0.3452 0.4177
B 0.9964 0.2767 0.5804
Rh 0.0296 0.2785 0.8665
Rh 0.0584 0.6469 0.8707
Rh 0.0763 0.1601 0.5940
Rh 0.1469 0.5584 0.6293
Rh 0.1601 0.0763 0.0940
Rh 0.2215 0.4704 0.3665
Rh 0.2785 0.0296 0.3665
Rh 0.3399 0.4237 0.0940
Rh 0.3531 0.9416 0.6293
Rh 0.4237 0.3399 0.5940
Rh 0.4416 0.8531 0.8707
Rh 0.4704 0.2215 0.8665
Rh 0.5296 0.7785 0.1335
Rh 0.5584 0.1469 0.1293
Rh 0.5763 0.6601 0.4060
Rh 0.6469 0.0584 0.3707
Rh 0.6601 0.5763 0.9060
Rh 0.7215 0.9704 0.6335
Rh 0.7785 0.5296 0.6335
Rh 0.8399 0.9237 0.9060
Rh 0.8531 0.4416 0.3707
Rh 0.9237 0.8399 0.4060
Rh 0.9416 0.3531 0.1293
Rh 0.9704 0.7215 0.1335

Values from the calculation:
Final energy, eV per atom: -25.141

---

Going through the records in order, we get E_form values of -0.67, -0.68, -0.68 eV per atom.
Going through the records in order, we get offset from the most stable computed form values of 0.005, 0.002, 0.000 eV per atom.